No. 1
Al5CuTe8, relaxed, DFT GGA-PBE; total energy = -0.1386 Ha/atom; space group = F-43m (216); energy relative to the elements, uncorrected = -4.87 eV per formula unit
1.0
0.1321 -0.4471 8.1798
-6.0306 -3.8521 3.9900
1.4545 -7.1702 3.6878
Al Cu Te
5 1 8
Cartesian
0.0000 0.0000 0.0000
-3.4325 -3.7045 8.0594
-2.7462 -7.0876 9.7994
-2.8086 -6.8766 5.9399
0.0992 -5.2700 7.9168
-1.1110 -2.8673 3.9644
-4.5824 -6.2071 7.9411
-1.6256 -4.5735 9.9513
-1.6890 -4.3590 6.0268
-0.9912 -7.7991 7.7961
-4.5202 -6.6108 12.0213
-3.9083 -9.7220 9.9425
-3.8472 -9.9289 13.7279
-1.0564 -8.1463 11.8814

No. 2
ZnFeTc2, relaxed, DFT GGA-PBE; energy relative to the elements = 186 meV per atom; total energy = -0.2731 Ha/atom; space group = F-43m (216)
1.0
4.2816 0.0000 0.0000
2.1408 3.7079 0.0000
2.1408 1.2360 3.4959
Fe Tc Zn
1 2 1
Cartesian
4.2816 2.4720 1.7479
0.0000 0.0000 0.0000
2.1408 1.2360 0.8740
6.4223 3.7079 2.6219

No. 3
Ac3TiN4, relaxed, DFT GGA-PBE; E above lowest polymorph = 0.0000 eV/atom; total energy = -0.2890 Ha/atom; space group = Pmn2_1 (31); energy relative to the elements, uncorrected = -9.40 eV per formula unit
1.0
-4.2461 0.4607 4.0586
-2.2214 -6.6332 -1.5712
4.8881 -2.9270 5.4461
Ac Ti N
6 2 8
Cartesian
-4.1368 -5.4969 0.7586
-0.3555 -5.0852 0.4173
-1.7554 -2.7583 2.9651
2.0516 -2.3494 2.5992
0.6712 -4.2114 5.6687
2.1060 -6.5591 3.1598
-0.4010 -1.1222 -0.2432
-1.5480 -6.7389 3.4708
-2.2926 -5.9133 -1.1204
-3.2806 -0.8915 2.4653
-0.0345 -2.5588 1.0650
-2.6708 -5.2202 2.8856
-0.1288 -6.8112 2.1582
-0.2104 -1.8876 4.8776
-0.6059 -6.4567 5.1861
2.7887 -4.2494 4.2105

No. 4
Fe2IrRh2, relaxed, DFT GGA-PBE; energy relative to the elements = 738 meV per atom; E above lowest polymorph = 0.4416 eV/atom; total energy = -0.2705 Ha/atom; space group = I4/mmm (139)
1.0
-0.5307 -4.4202 -1.6114
0.4500 -2.0813 4.2287
-3.1050 3.4675 -0.8673
Fe Ir Rh
2 1 2
Cartesian
-0.0113 -0.9142 0.3680
-0.0693 -5.5874 2.2493
-0.0403 -3.2508 1.3087
-1.3477 -0.9323 2.3350
-1.8380 -2.1018 -0.5850